Rb2BiMoCl6 | PBE | optimized geometry

Calculated values
V in A^3/atom: 33.107
Symmetry: I4/mmm (139)
Raw total energy in eV/f.u.: -38.38
E_form (uncorrected) in eV/atom: -1.065

Structure (extended XYZ):
```
10
Lattice="-2.671 4.789 5.102 1.470 -4.955 5.421 4.790 2.229 5.913" Properties=species:S:1:pos:R:3 pbc="T T T"
Cl 1.925 1.174 10.901
Cl -0.316 -0.044 2.771
Cl 0.380 -2.389 5.337
Cl 1.665 0.888 5.535
Cl -0.884 -0.122 7.752
Cl -1.580 2.223 5.186
Rb 0.760 3.467 8.138
Rb 2.830 -1.405 8.298
Bi 0.000 0.000 0.000
Mo -0.600 -0.083 5.262
```

Cu2TeW | PBE | optimized geometry

Calculated values
V in A^3/atom: 16.167
Symmetry: I4/mmm (139)
Raw total energy in eV/f.u.: -21.16
E_form (uncorrected) in eV/atom: 0.781

Structure (extended XYZ):
```
4
Lattice="5.137 0.007 0.000 2.240 4.623 0.000 -3.689 -2.315 2.725" Properties=species:S:1:pos:R:3 pbc="T T T"
Te 1.120 2.312 1.362
Cu 3.689 2.315 0.000
Cu 0.000 0.000 0.000
W 2.569 0.004 1.362
```

La3TeCCl | PBE | optimized geometry

Calculated values
V in A^3/atom: 31.142
Symmetry: P2_1/m (11)
Raw total energy in eV/f.u.: -35.08
E_form (uncorrected) in eV/atom: -1.015

Structure (extended XYZ):
```
12
Lattice="-0.343 0.661 -4.147 -5.556 -6.283 -0.543 -6.704 8.130 1.851" Properties=species:S:1:pos:R:3 pbc="T T T"
Cl -4.921 3.764 -0.063
Cl -7.682 -1.256 -2.776
La -6.903 3.213 -2.128
La -6.054 -3.638 -3.290
La -9.435 3.808 0.317
La -5.700 -0.705 -0.712
La -6.548 6.146 0.451
La -3.168 -1.300 -3.156
Te -10.390 1.908 -2.048
Te -2.213 0.600 -0.792
C -7.890 5.307 -1.712
C -4.713 -2.799 -1.127
```

Th2PaRh | PBE | optimized geometry

Calculated values
V in A^3/atom: 25.666
Symmetry: P4/mmm (123)
Raw total energy in eV/f.u.: -32.91
ΔH_f (0 K) in eV/atom: -0.306

Structure (extended XYZ):
```
4
Lattice="3.609 0.000 0.000 0.000 3.609 0.000 0.000 0.000 7.884" Properties=species:S:1:pos:R:3 pbc="T T T"
Th 0.000 0.000 6.158
Th 0.000 0.000 1.726
Rh 1.804 1.804 0.000
Pa 1.804 1.804 3.942
```